A plane-wave DFT calculation with PBE was carried out for a geometry-optimized Hf6GaC structure.

a = 5.7125 Å, b = 5.8237 Å, c = 6.0687 Å
α = 91.51°, β = 113.88°, γ = 114.88°
With the nearest neighbours (Å) after each atom.
Positions (direct):
Hf 0.0676 0.1280 0.2762  1 C 2.29
Hf 0.2930 0.7171 0.2709  1 C 2.22
Hf 0.2989 0.5184 0.7448  1 C 2.24
Hf 0.7011 0.4816 0.2552  1 C 2.24
Hf 0.7070 0.2829 0.7291  1 C 2.22
Hf 0.9324 0.8720 0.7238  1 C 2.29
Ga 0.5000 0.0000 0.0000  6 Hf 2.63-2.72
C 0.5000 0.5000 0.5000  6 Hf 2.22-2.29

Results
- Total moment: 0.000 μB per atom
- VASP energy: -9.1083 eV per atom
- Calculated formation energy: -0.1119 eV/atom